La3CeTl | PBE | optimized geometry

The calculation puts the energy relative to the elements at -0.123 eV/atom.

It has space group P-1 (No. 2), with a = 3.697 Å, b = 8.690 Å, c = 10.638 Å, α = 75.43°, β = 82.51° and γ = 89.54°. The distinct sites, in fractional coordinates, are La at (0.006, 0.306, 0.015), La at (0.191, 0.875, 0.641), La at (0.228, 0.324, 0.589), Ce at (0.372, 0.940, 0.125) and Tl at (0.365, 0.468, 0.241).



V2CrW | PBE | optimized geometry

The calculation puts the energy relative to the elements at 0.637 eV/atom.

It has space group I-42d (No. 122), with a = 6.700 Å, b = 6.700 Å, c = 5.156 Å, α = 90.00°, β = 90.00° and γ = 90.00°. The distinct sites, in fractional coordinates, are V at (0.228, 0.250, 0.125), Cr at (0.000, 0.000, 0.000) and W at (0.000, 0.000, 0.500).



RbSr2InP | PBE | optimized geometry

The calculation puts the energy relative to the elements at 0.789 eV/atom.

It has space group P4/mmm (No. 123), with a = 6.431 Å, b = 6.431 Å, c = 5.499 Å, α = 90.00°, β = 90.00° and γ = 90.00°. The distinct sites, in fractional coordinates, are Rb at (0.000, 0.000, 0.000), Sr at (0.000, 0.500, 0.000), In at (0.500, 0.500, 0.500) and P at (0.000, 0.000, 0.500).



MnNb2Co2 | PBE | optimized geometry

The calculation puts the energy relative to the elements at 0.051 eV/atom.

It has space group P4/mbm (No. 127), with a = 6.169 Å, b = 6.169 Å, c = 3.660 Å, α = 90.00°, β = 90.00° and γ = 90.00°. The distinct sites, in fractional coordinates, are Mn at (0.000, 0.000, 0.000), Nb at (0.178, 0.322, 0.500) and Co at (0.130, 0.630, 0.000).



Li2Ga5Ag3 | PBE | optimized geometry

The calculation puts the energy relative to the elements at -0.135 eV/atom.

It has space group C2/c (No. 15), with a = 10.311 Å, b = 12.616 Å, c = 5.440 Å, α = 90.00°, β = 92.79° and γ = 90.00°. The distinct sites, in fractional coordinates, are Li at (0.123, 0.248, 0.121), Ga at (0.000, 0.044, 0.250), Ga at (0.127, 0.350, 0.617), Ga at (0.242, 0.455, 0.995), Ag at (0.000, 0.453, 0.250) and Ag at (0.128, 0.146, 0.630).



PRh | PBE | optimized geometry

The calculation puts the energy relative to the elements at -0.186 eV/atom.

It has space group Imma (No. 74), with a = 3.009 Å, b = 4.176 Å, c = 9.045 Å, α = 90.00°, β = 90.00° and γ = 90.00°. The distinct sites, in fractional coordinates, are P at (0.000, 0.250, 0.109) and Rh at (0.000, 0.250, 0.602).



LaRe2Mo | PBE | optimized geometry

The calculation puts the energy relative to the elements at 0.501 eV/atom.

It has space group F-43m (No. 216), with a = 6.584 Å, b = 6.584 Å, c = 6.584 Å, α = 90.00°, β = 90.00° and γ = 90.00°. The distinct sites, in fractional coordinates, are La at (0.000, 0.000, 0.000), Re at (0.000, 0.000, 0.500), Re at (0.250, 0.250, 0.250) and Mo at (0.250, 0.250, 0.750).



YPb | PBE | optimized geometry

The calculation puts the energy relative to the elements at -0.194 eV/atom.

It has space group P-3m1 (No. 164), with a = 4.8016 Å, b = 4.8016 Å, c = 20.5050 Å, α = 90.00°, β = 90.00° and γ = 120.00°. The distinct sites, in fractional coordinates, are Y at (0.0000, 0.0000, 0.2020), Y at (0.3333, 0.6667, 0.0565), Y at (0.3333, 0.6667, 0.3528), Pb at (0.0000, 0.0000, 0.4297), Pb at (0.3333, 0.6667, 0.7168) and Pb at (0.3333, 0.6667, 0.8822).



LiIn2Ga2 | PBE | optimized geometry

The calculation puts the energy relative to the elements at -0.026 eV/atom.

It has space group I4/mmm (No. 139), with a = 4.531 Å, b = 4.531 Å, c = 11.698 Å, α = 90.00°, β = 90.00° and γ = 90.00°. The distinct sites, in fractional coordinates, are Li at (0.000, 0.000, 0.000), In at (0.000, 0.500, 0.250) and Ga at (0.000, 0.000, 0.396).



Be2Cd2SbO6 | PBE | optimized geometry

The raw formation energy is -1.5738 eV per atom.

It has space group P-3 (No. 147), with a = 5.1584 Å, b = 5.1584 Å, c = 6.3300 Å, α = 90.00°, β = 90.00° and γ = 120.00°. The distinct sites, in fractional coordinates, are Be at (0.3333, 0.6667, 0.3281), Cd at (0.3333, 0.6667, 0.8466), Sb at (0.0000, 0.0000, 0.5000) and O at (0.0612, 0.7169, 0.3129).



ZnFeOs4 | PBE | optimized geometry

The calculation puts the energy relative to the elements at 0.757 eV/atom.

It has space group F-43m (No. 216), with a = 7.247 Å, b = 7.247 Å, c = 7.247 Å, α = 90.00°, β = 90.00° and γ = 90.00°. The distinct sites, in fractional coordinates, are Zn at (0.000, 0.000, 0.000), Fe at (0.250, 0.250, 0.750) and Os at (0.125, 0.125, 0.375).



HgGe2Au8 | PBE | optimized geometry

The calculation puts the energy relative to the elements at 0.060 eV/atom.

It has space group C2/m (No. 12), with a = 16.513 Å, b = 3.842 Å, c = 6.788 Å, α = 90.00°, β = 107.17° and γ = 90.00°. The distinct sites, in fractional coordinates, are Hg at (0.000, 0.000, 0.000), Ge at (0.216, 0.500, 0.636), Au at (0.049, 0.500, 0.727), Au at (0.088, 0.000, 0.441), Au at (0.148, 0.500, 0.192) and Au at (0.184, 0.000, 0.898).